(a)
First-principles (meta-GGA SCAN) data for LiVSiO5 at its PBEsol-relaxed geometry, as listed in Alexandria via LeMat-Bulk.

Geometry as CIF:
```
data_LiVSiO5
_space_group_name_H-M_alt 'P 1'
_space_group_IT_number 1
_space_group_name_Hall 'P 1'
_cell_length_a 4.6372
_cell_length_b 6.1628
_cell_length_c 6.3481
_cell_angle_alpha 90.00
_cell_angle_beta 94.19
_cell_angle_gamma 90.00
loop_
_atom_site_label
_atom_site_type_symbol
_atom_site_fract_x
_atom_site_fract_y
_atom_site_fract_z
Li1 Li 0.0000 0.0000 0.0000
Li2 Li 0.0000 0.5000 0.0000
V1 V 0.3969 0.2500 0.7485
V2 V 0.6031 0.7500 0.2515
Si1 Si 0.4814 0.7500 0.7548
Si2 Si 0.5186 0.2500 0.2452
O1 O 0.2585 0.7500 0.1948
O2 O 0.2712 0.2500 0.0496
O3 O 0.2740 0.5344 0.7655
O4 O 0.2740 0.9656 0.7655
O5 O 0.3622 0.2500 0.4681
O6 O 0.6378 0.7500 0.5319
O7 O 0.7260 0.0344 0.2345
O8 O 0.7260 0.4656 0.2345
O9 O 0.7288 0.7500 0.9504
O10 O 0.7415 0.2500 0.8052
```

Summary:
As for the space group: P2_1/m, No. 11. The magnetic moment is 0.000 μB/atom.



(b)
First-principles (meta-GGA SCAN) data for LiVSiO5 at its PBEsol-relaxed geometry, as listed in Alexandria via LeMat-Bulk.

Geometry as CIF:
```
data_LiVSiO5
_space_group_name_H-M_alt 'P 1'
_space_group_IT_number 1
_space_group_name_Hall 'P 1'
_cell_length_a 8.8941
_cell_length_b 4.4215
_cell_length_c 9.2102
_cell_angle_alpha 90.00
_cell_angle_beta 90.00
_cell_angle_gamma 90.00
loop_
_atom_site_label
_atom_site_type_symbol
_atom_site_fract_x
_atom_site_fract_y
_atom_site_fract_z
Li1 Li 0.0000 0.0262 0.0000
Li2 Li 0.0000 0.9738 0.5000
Li3 Li 0.5000 0.3476 0.2226
Li4 Li 0.5000 0.6524 0.7226
V1 V 0.0000 0.4185 0.7334
V2 V 0.0000 0.5815 0.2334
V3 V 0.5000 0.0556 0.9404
V4 V 0.5000 0.9444 0.4404
Si1 Si 0.2508 0.4838 0.4841
Si2 Si 0.2508 0.5162 0.9841
Si3 Si 0.7492 0.4838 0.4841
Si4 Si 0.7492 0.5162 0.9841
O1 O 0.0000 0.2187 0.2225
O2 O 0.0000 0.7813 0.7225
O3 O 0.1406 0.3252 0.8752
O4 O 0.1406 0.6748 0.3752
O5 O 0.1421 0.2970 0.5954
O6 O 0.1421 0.7030 0.0954
O7 O 0.3559 0.2321 0.4020
O8 O 0.3559 0.7679 0.9020
O9 O 0.3611 0.2650 0.0599
O10 O 0.3611 0.7350 0.5599
O11 O 0.5000 0.2327 0.7876
O12 O 0.5000 0.7673 0.2876
O13 O 0.6389 0.2650 0.0599
O14 O 0.6389 0.7350 0.5599
O15 O 0.6441 0.2321 0.4020
O16 O 0.6441 0.7679 0.9020
O17 O 0.8579 0.2970 0.5954
O18 O 0.8579 0.7030 0.0954
O19 O 0.8594 0.3252 0.8752
O20 O 0.8594 0.6748 0.3752
```

Summary:
As for the space group: Pmc2_1, No. 26. The magnetic moment is 0.000 μB/atom.



(c)
First-principles (meta-GGA SCAN) data for LiVSiO5 at its PBEsol-relaxed geometry, as listed in Alexandria via LeMat-Bulk.

Geometry as CIF:
```
data_LiVSiO5
_space_group_name_H-M_alt 'P 1'
_space_group_IT_number 1
_space_group_name_Hall 'P 1'
_cell_length_a 6.2519
_cell_length_b 6.2519
_cell_length_c 4.5302
_cell_angle_alpha 90.00
_cell_angle_beta 90.00
_cell_angle_gamma 90.25
loop_
_atom_site_label
_atom_site_type_symbol
_atom_site_fract_x
_atom_site_fract_y
_atom_site_fract_z
Li1 Li 0.0000 0.5000 0.0000
Li2 Li 0.5000 0.0000 0.0000
V1 V 0.2500 0.7500 0.6049
V2 V 0.7500 0.2500 0.3951
Si1 Si 0.2500 0.2500 0.5000
Si2 Si 0.7500 0.7500 0.5000
O1 O 0.0385 0.2550 0.2869
O2 O 0.2450 0.4615 0.7131
O3 O 0.2500 0.7500 0.2504
O4 O 0.2550 0.0385 0.7131
O5 O 0.4615 0.2450 0.2869
O6 O 0.5385 0.7550 0.7131
O7 O 0.7450 0.9615 0.2869
O8 O 0.7500 0.2500 0.7496
O9 O 0.7550 0.5385 0.2869
O10 O 0.9615 0.7450 0.7131
```

Summary:
As for the space group: Cmme, No. 67. The magnetic moment is 0.000 μB/atom.



Which of them is least stable? Easy: (b).



(a)
First-principles (meta-GGA SCAN) data for LiTa3O8 at its PBEsol-relaxed geometry, as listed in Alexandria via LeMat-Bulk.

Geometry as CIF:
```
data_LiTa3O8
_space_group_name_H-M_alt 'P 1'
_space_group_IT_number 1
_space_group_name_Hall 'P 1'
_cell_length_a 7.4486
_cell_length_b 7.4486
_cell_length_c 5.0463
_cell_angle_alpha 90.53
_cell_angle_beta 90.53
_cell_angle_gamma 101.64
loop_
_atom_site_label
_atom_site_type_symbol
_atom_site_fract_x
_atom_site_fract_y
_atom_site_fract_z
Li1 Li 0.1581 0.8419 0.7500
Li2 Li 0.8419 0.1581 0.2500
Ta1 Ta 0.1556 0.3267 0.7454
Ta2 Ta 0.3267 0.1556 0.2454
Ta3 Ta 0.3296 0.6704 0.2500
Ta4 Ta 0.6704 0.3296 0.7500
Ta5 Ta 0.6733 0.8444 0.7546
Ta6 Ta 0.8444 0.6733 0.2546
O1 O 0.0803 0.6861 0.3955
O2 O 0.0952 0.1947 0.0652
O3 O 0.1947 0.0952 0.5652
O4 O 0.2066 0.5618 0.9236
O5 O 0.3037 0.4294 0.4165
O6 O 0.3139 0.9197 0.1045
O7 O 0.4294 0.3037 0.9165
O8 O 0.4382 0.7934 0.5764
O9 O 0.5618 0.2066 0.4236
O10 O 0.5706 0.6963 0.0835
O11 O 0.6861 0.0803 0.8955
O12 O 0.6963 0.5706 0.5835
O13 O 0.7934 0.4382 0.0764
O14 O 0.8053 0.9048 0.4348
O15 O 0.9048 0.8053 0.9348
O16 O 0.9197 0.3139 0.6045
```

Summary:
As for the space group: C2/c, No. 15. The magnetic moment is 0.000 μB/atom.



(b)
First-principles (meta-GGA SCAN) data for LiTa3O8 at its PBEsol-relaxed geometry, as listed in Alexandria via LeMat-Bulk.

Geometry as CIF:
```
data_LiTa3O8
_space_group_name_H-M_alt 'P 1'
_space_group_IT_number 1
_space_group_name_Hall 'P 1'
_cell_length_a 16.9321
_cell_length_b 3.8887
_cell_length_c 8.9585
_cell_angle_alpha 90.00
_cell_angle_beta 90.00
_cell_angle_gamma 90.00
loop_
_atom_site_label
_atom_site_type_symbol
_atom_site_fract_x
_atom_site_fract_y
_atom_site_fract_z
Li1 Li 0.1352 0.0000 0.1531
Li2 Li 0.3648 0.0000 0.1531
Li3 Li 0.6352 0.0000 0.8469
Li4 Li 0.8648 0.0000 0.8469
Ta1 Ta 0.0591 0.5000 0.8129
Ta2 Ta 0.1309 0.5000 0.3970
Ta3 Ta 0.2500 0.5000 0.0424
Ta4 Ta 0.2500 0.5000 0.6790
Ta5 Ta 0.3691 0.5000 0.3970
Ta6 Ta 0.4409 0.5000 0.8129
Ta7 Ta 0.5591 0.5000 0.1871
Ta8 Ta 0.6309 0.5000 0.6030
Ta9 Ta 0.7500 0.5000 0.3210
Ta10 Ta 0.7500 0.5000 0.9576
Ta11 Ta 0.8691 0.5000 0.6030
Ta12 Ta 0.9409 0.5000 0.1871
O1 O 0.0000 0.5000 0.0000
O2 O 0.0225 0.5000 0.3332
O3 O 0.0652 0.0000 0.8285
O4 O 0.1303 0.5000 0.6135
O5 O 0.1342 0.0000 0.3735
O6 O 0.1604 0.5000 0.1760
O7 O 0.1769 0.5000 0.8674
O8 O 0.2500 0.0000 0.0610
O9 O 0.2500 0.0000 0.6815
O10 O 0.2500 0.5000 0.4481
O11 O 0.3231 0.5000 0.8674
O12 O 0.3396 0.5000 0.1760
O13 O 0.3658 0.0000 0.3735
O14 O 0.3697 0.5000 0.6135
O15 O 0.4348 0.0000 0.8285
O16 O 0.4775 0.5000 0.3332
O17 O 0.5000 0.5000 0.0000
O18 O 0.5225 0.5000 0.6668
O19 O 0.5652 0.0000 0.1715
O20 O 0.6303 0.5000 0.3865
O21 O 0.6342 0.0000 0.6265
O22 O 0.6604 0.5000 0.8240
O23 O 0.6769 0.5000 0.1326
O24 O 0.7500 0.0000 0.3185
O25 O 0.7500 0.0000 0.9390
O26 O 0.7500 0.5000 0.5519
O27 O 0.8231 0.5000 0.1326
O28 O 0.8396 0.5000 0.8240
O29 O 0.8658 0.0000 0.6265
O30 O 0.8697 0.5000 0.3865
O31 O 0.9348 0.0000 0.1715
O32 O 0.9775 0.5000 0.6668
```

Summary:
As for the space group: Pmma, No. 51. The magnetic moment is 0.000 μB/atom.



Which of them is least stable? Easy: (b).



(a)
First-principles (meta-GGA SCAN) data for LiVTeO5 at its PBEsol-relaxed geometry, as listed in Alexandria via LeMat-Bulk.

Geometry as CIF:
```
data_LiVTeO5
_space_group_name_H-M_alt 'P 1'
_space_group_IT_number 1
_space_group_name_Hall 'P 1'
_cell_length_a 7.5620
_cell_length_b 5.9266
_cell_length_c 9.0031
_cell_angle_alpha 90.00
_cell_angle_beta 90.00
_cell_angle_gamma 90.00
loop_
_atom_site_label
_atom_site_type_symbol
_atom_site_fract_x
_atom_site_fract_y
_atom_site_fract_z
Li1 Li 0.0000 0.0000 0.0000
Li2 Li 0.0000 0.5000 0.0000
Li3 Li 0.5000 0.0000 0.5000
Li4 Li 0.5000 0.5000 0.5000
V1 V 0.2108 0.2500 0.2893
V2 V 0.2892 0.7500 0.7893
V3 V 0.7108 0.2500 0.2107
V4 V 0.7892 0.7500 0.7107
Te1 Te 0.1207 0.2500 0.6710
Te2 Te 0.3793 0.7500 0.1710
Te3 Te 0.6207 0.2500 0.8290
Te4 Te 0.8793 0.7500 0.3290
O1 O 0.0326 0.2500 0.3993
O2 O 0.1367 0.2500 0.1193
O3 O 0.1573 0.7500 0.0847
O4 O 0.1778 0.0181 0.8178
O5 O 0.1778 0.4819 0.8178
O6 O 0.3222 0.5181 0.3178
O7 O 0.3222 0.9819 0.3178
O8 O 0.3427 0.2500 0.5847
O9 O 0.3633 0.7500 0.6193
O10 O 0.4674 0.7500 0.8993
O11 O 0.5326 0.2500 0.1007
O12 O 0.6367 0.2500 0.3807
O13 O 0.6573 0.7500 0.4153
O14 O 0.6778 0.0181 0.6822
O15 O 0.6778 0.4819 0.6822
O16 O 0.8222 0.5181 0.1822
O17 O 0.8222 0.9819 0.1822
O18 O 0.8427 0.2500 0.9153
O19 O 0.8633 0.7500 0.8807
O20 O 0.9674 0.7500 0.6007
```

Summary:
As for the space group: Pnma, No. 62. The magnetic moment is 0.000 μB/atom.



(b)
First-principles (meta-GGA SCAN) data for LiVTeO5 at its PBEsol-relaxed geometry, as listed in Alexandria via LeMat-Bulk.

Geometry as CIF:
```
data_LiVTeO5
_space_group_name_H-M_alt 'P 1'
_space_group_IT_number 1
_space_group_name_Hall 'P 1'
_cell_length_a 4.8688
_cell_length_b 8.7034
_cell_length_c 11.3795
_cell_angle_alpha 90.00
_cell_angle_beta 90.00
_cell_angle_gamma 90.00
loop_
_atom_site_label
_atom_site_type_symbol
_atom_site_fract_x
_atom_site_fract_y
_atom_site_fract_z
Li1 Li 0.1774 0.0510 0.4606
Li2 Li 0.3226 0.9490 0.9606
Li3 Li 0.6774 0.4490 0.5394
Li4 Li 0.8226 0.5510 0.0394
V1 V 0.1653 0.4235 0.3721
V2 V 0.3347 0.5765 0.8721
V3 V 0.6653 0.0765 0.6279
V4 V 0.8347 0.9235 0.1279
Te1 Te 0.1861 0.6820 0.6076
Te2 Te 0.3139 0.3180 0.1076
Te3 Te 0.6861 0.8180 0.3924
Te4 Te 0.8139 0.1820 0.8924
O1 O 0.1665 0.9514 0.1185
O2 O 0.1816 0.4698 0.9949
O3 O 0.1863 0.1598 0.9261
O4 O 0.2212 0.5223 0.7265
O5 O 0.2307 0.2394 0.3838
O6 O 0.2693 0.7606 0.8838
O7 O 0.2788 0.4777 0.2265
O8 O 0.3137 0.8402 0.4261
O9 O 0.3184 0.5302 0.4949
O10 O 0.3335 0.0486 0.6185
O11 O 0.6665 0.5486 0.8815
O12 O 0.6816 0.0302 0.0051
O13 O 0.6863 0.3402 0.0739
O14 O 0.7212 0.9777 0.2735
O15 O 0.7307 0.2606 0.6162
O16 O 0.7693 0.7394 0.1162
O17 O 0.7788 0.0223 0.7735
O18 O 0.8137 0.6598 0.5739
O19 O 0.8184 0.9698 0.5051
O20 O 0.8335 0.4514 0.3815
```

Summary:
As for the space group: P2_12_12_1, No. 19. The magnetic moment is 0.000 μB/atom.



Which of them is least stable? Easy: (b).